1.
Below is a relaxed Tb5Tm2Sc5 crystal, with properties calculated at the PBE-GGA level.

Cell and atoms, written as POSCAR:
```
Tb5Tm2Sc5
1.0
5.768 -2.696 0.000
5.768 2.696 0.000
-3.772 0.000 10.913
Tb Tm Sc
5 2 5
direct
0.000 0.000 0.000
0.039 0.039 0.708
0.252 0.252 0.244
0.748 0.748 0.756
0.961 0.961 0.292
0.212 0.212 0.545
0.788 0.788 0.455
0.292 0.292 0.959
0.459 0.459 0.798
0.500 0.500 0.500
0.541 0.541 0.202
0.708 0.708 0.041
```

Summary:
The value obtained for the energy above the most stable polymorph in this dataset is 32 meV per atom.

***

2.
Below is a relaxed TbTm5Sc2 crystal, with properties calculated at the PBE-GGA level.

Cell and atoms, written as POSCAR:
```
TbTm5Sc2
1.0
0.000 5.451 6.074
3.515 0.000 6.074
3.515 5.451 0.000
Tb Tm Sc
1 5 2
direct
0.000 0.000 0.000
0.003 0.504 0.997
0.085 0.085 0.415
0.501 0.501 0.499
0.504 0.003 0.496
0.585 0.585 0.915
0.086 0.585 0.415
0.585 0.086 0.914
```

***

3.
Below is a relaxed Tb3Tm2Sc5 crystal, with properties calculated at the PBE-GGA level.

Cell and atoms, written as POSCAR:
```
Tb3Tm2Sc5
1.0
8.966 0.000 0.000
-2.577 8.599 0.000
-2.569 -4.758 7.170
Tb Tm Sc
6 4 10
direct
0.153 0.176 0.231
0.252 0.631 0.381
0.254 0.124 0.870
0.746 0.876 0.130
0.748 0.369 0.619
0.847 0.824 0.769
0.053 0.726 0.076
0.446 0.523 0.681
0.554 0.477 0.319
0.947 0.274 0.924
0.048 0.224 0.575
0.152 0.674 0.725
0.348 0.576 0.024
0.352 0.073 0.528
0.451 0.021 0.173
0.549 0.979 0.827
0.648 0.927 0.472
0.652 0.424 0.976
0.848 0.326 0.275
0.952 0.776 0.425
```

***

4.
Below is a relaxed Tb4Tm3Sc2 crystal, with properties calculated at the PBE-GGA level.

Cell and atoms, written as POSCAR:
```
Tb4Tm3Sc2
1.0
8.258 -4.706 0.000
8.258 4.706 0.000
-0.004 0.000 6.859
Tb Tm Sc
8 6 4
direct
0.150 0.815 0.000
0.160 0.521 0.501
0.185 0.850 0.500
0.479 0.840 0.999
0.521 0.160 0.001
0.815 0.150 0.500
0.840 0.479 0.499
0.850 0.185 0.000
0.173 0.173 0.250
0.173 0.173 0.750
0.500 0.500 0.250
0.500 0.500 0.750
0.827 0.827 0.250
0.827 0.827 0.750
0.172 0.477 0.000
0.477 0.172 0.500
0.523 0.828 0.500
0.828 0.523 0.000
```

Summary:
The value obtained for the energy above the most stable polymorph in this dataset is 0 meV per atom.

***

The records above yield formation energy values of 82; 18; 55; 56 meV/atom, respectively.